First-principles (PBE) data for PmMgSi2 after structural relaxation, as listed in Alexandria via LeMat-Bulk.

- Crystal system: orthorhombic
- Polymorph energy (0 for the lowest one): 0.000 eV per atom
- V: 20.62 Å³ per atom

a b c (Å): 4.363 6.794 11.128
angles (deg): 90.00 90.00 90.00
Element x y z (fractional)
Si 0.750 0.833 0.871
Si 0.250 0.167 0.129
Mg 0.750 0.353 0.051
Si 0.250 0.522 0.174
Si 0.750 0.333 0.629
Si 0.250 0.667 0.371
Mg 0.250 0.647 0.949
Si 0.750 0.978 0.674
Pm 0.750 0.853 0.152
Mg 0.250 0.147 0.551
Mg 0.750 0.853 0.449
Pm 0.250 0.647 0.652
Si 0.250 0.022 0.326
Pm 0.750 0.353 0.348
Si 0.750 0.478 0.826
Pm 0.250 0.147 0.848

First-principles (PBE) data for Pm2Mg5Si4 after structural relaxation, as listed in Alexandria via LeMat-Bulk.

- Crystal system: orthorhombic
- V: 22.26 Å³ per atom

a b c (Å): 5.934 6.342 7.938
angles (deg): 79.93 68.05 62.11
Element x y z (fractional)
Si 0.240 0.220 0.300
Pm 0.848 0.000 0.304
Si 0.760 0.780 0.700
Mg 0.000 0.500 0.000
Mg 0.500 0.500 0.000
Mg 0.750 0.500 0.500
Mg 0.500 0.000 0.000
Pm 0.152 0.000 0.696
Si 0.540 0.220 0.700
Mg 0.250 0.500 0.500
Si 0.460 0.780 0.300

First-principles (PBE) data for Pm5Mg2Si4 after structural relaxation, as listed in Alexandria via LeMat-Bulk.

- Crystal system: monoclinic
- V: 26.08 Å³ per atom

a b c (Å): 4.161 7.138 10.504
angles (deg): 109.84 101.42 90.00
Element x y z (fractional)
Pm 0.164 0.933 0.328
Pm 0.836 0.605 0.672
Si 0.000 0.682 0.000
Pm 0.836 0.067 0.672
Si 0.000 0.318 0.000
Pm 0.500 0.000 0.000
Si 0.708 0.708 0.415
Pm 0.164 0.395 0.328
Mg 0.573 0.573 0.145
Si 0.292 0.292 0.585
Mg 0.427 0.427 0.855

What are the DFT total energy values for these records? In order: -4.7512, -3.7813, -4.7787 eV/atom.
What are the uncorrected formation energy values for these records? In order: -453.4, -220.7, -357.4 meV/atom.